1 | Computed, not measured: crystalline Tb2BeZn at its relaxed geometry at the PBE-GGA level of DFT.

Output
- total magnetization (μB per atom) = 0.00
- DOS(E_F) (states/eV/f.u.) = 3.99

a = 3.3277 Å, b = 3.3277 Å, c = 31.6385 Å
α = 90.00°, β = 90.00°, γ = 120.00°
With the nearest neighbours (Å) after each atom.
Space group R-3m (No. 166, hexagonal axes)
Unique sites:
Tb 0.0000 0.0000 0.0928 (multiplicity 6)  1 Be 2.94, 3 Zn 3.03
Be 0.0000 0.0000 0.0000 (multiplicity 3)  2 Tb 2.94
Zn 0.0000 0.0000 0.5000 (multiplicity 3)  6 Tb 3.03, 6 Zn 3.33


2 | Computed, not measured: crystalline Tb2BeZn at its relaxed geometry at the PBE-GGA level of DFT.

Output
- total magnetization (μB per atom) = 0.00
- DOS(E_F) (states/eV/f.u.) = 4.34

a = 7.0187 Å, b = 7.0187 Å, c = 7.0187 Å
α = 90.00°, β = 90.00°, γ = 90.00°
With the nearest neighbours (Å) after each atom.
Space group Fm-3m (No. 225)
Unique sites:
Tb 0.2500 0.2500 0.2500 (multiplicity 8)  4 Be 3.04, 4 Zn 3.04
Be 0.0000 0.0000 0.0000 (multiplicity 4)  8 Tb 3.04
Zn 0.0000 0.0000 0.5000 (multiplicity 4)  8 Tb 3.04


Which of them is least stable? Easy: 1.